A relaxed structure of PrI4. Source: OQMD via LeMat-Bulk, functional PBE.

* size of the total moment: 0.00 Bohr magnetons per cell

Unit cell a=8.533 b=8.533 c=13.563 alpha=92.14 beta=92.14 gamma=104.74
Sites, in units of the cell vectors:
I 0.218 0.552 0.073
I 0.189 0.025 0.101
I 0.659 0.426 0.152
I 0.676 0.950 0.190
I 0.050 0.324 0.310
I 0.574 0.341 0.348
I 0.975 0.811 0.399
I 0.448 0.782 0.427
I 0.552 0.218 0.573
I 0.025 0.189 0.601
I 0.426 0.659 0.652
I 0.950 0.676 0.690
I 0.324 0.050 0.810
I 0.341 0.574 0.848
I 0.811 0.975 0.899
I 0.782 0.448 0.927
Pr 0.921 0.223 0.084
Pr 0.777 0.079 0.416
Pr 0.223 0.921 0.584
Pr 0.079 0.777 0.916


A relaxed structure of Pr2HfCuSb4. Source: OQMD via LeMat-Bulk, functional PBE.

* size of the total moment: 0.02 Bohr magnetons per cell

Unit cell a=4.351 b=4.351 c=11.004 alpha=90.00 beta=90.00 gamma=90.00
Sites, in units of the cell vectors:
Cu 0.000 0.000 0.000
Hf 0.500 0.500 0.000
Pr 0.000 0.500 0.274
Pr 0.500 0.000 0.726
Sb 0.500 0.000 0.166
Sb 0.000 0.000 0.500
Sb 0.500 0.500 0.500
Sb 0.000 0.500 0.834


A relaxed structure of SbIr. Source: OQMD via LeMat-Bulk, functional PBE.

* size of the total moment: 0.00 Bohr magnetons per cell

Unit cell a=5.401 b=4.046 c=7.690 alpha=90.00 beta=90.00 gamma=90.00
Sites, in units of the cell vectors:
Ir 0.750 0.000 0.307
Ir 0.000 0.500 0.500
Ir 0.500 0.500 0.500
Ir 0.250 0.000 0.693
Sb 0.750 0.500 0.088
Sb 0.250 0.000 0.326
Sb 0.750 0.000 0.674
Sb 0.250 0.500 0.912


A relaxed structure of Cu2H28C12N4Cl3. Source: OQMD via LeMat-Bulk, functional PBE.

Unit cell a=12.561 b=12.561 c=10.855 alpha=102.70 beta=102.70 gamma=31.56
Sites, in units of the cell vectors:
C 0.540 0.697 0.020
C 0.477 0.868 0.069
C 0.656 0.794 0.074
C 0.721 0.513 0.101
C 0.902 0.437 0.105
C 0.840 0.608 0.153
C 0.392 0.160 0.347
C 0.563 0.098 0.395
C 0.487 0.279 0.399
C 0.206 0.344 0.426
C 0.132 0.523 0.431
C 0.303 0.460 0.480
C 0.697 0.540 0.520
C 0.868 0.477 0.569
C 0.794 0.656 0.574
C 0.513 0.721 0.601
C 0.437 0.902 0.605
C 0.608 0.840 0.653
C 0.160 0.392 0.847
C 0.098 0.563 0.895
C 0.279 0.487 0.899
C 0.344 0.206 0.926
C 0.523 0.132 0.931
C 0.460 0.303 0.980
Cl 0.926 0.899 0.202
Cl 0.463 0.537 0.250
Cl 0.101 0.074 0.298
Cl 0.899 0.926 0.702
Cl 0.537 0.463 0.750
Cl 0.074 0.101 0.798
Cu 0.500 0.500 0.000
Cu 0.124 0.876 0.250
Cu 0.500 0.500 0.500
Cu 0.876 0.124 0.750
H 0.348 0.997 0.008
H 0.955 0.380 0.009
H 0.300 0.246 0.023
H 0.150 0.720 0.028
H 0.731 0.148 0.057
H 0.415 0.353 0.078
H 0.301 0.839 0.100
H 0.611 0.917 0.113
H 0.858 0.253 0.119
H 0.969 0.553 0.151
H 0.422 0.922 0.164
H 0.028 0.307 0.165
H 0.672 0.560 0.197
H 0.347 0.198 0.248
H 0.802 0.653 0.252
H 0.440 0.328 0.303
H 0.693 0.972 0.335
H 0.078 0.578 0.336
H 0.447 0.031 0.349
H 0.747 0.142 0.381
H 0.083 0.389 0.387
H 0.161 0.699 0.400
H 0.647 0.585 0.422
H 0.852 0.269 0.443
H 0.280 0.850 0.472
H 0.754 0.700 0.477
H 0.620 0.045 0.491
H 0.003 0.652 0.492
H 0.997 0.348 0.508
H 0.380 0.955 0.509
H 0.246 0.300 0.523
H 0.720 0.150 0.528
H 0.148 0.731 0.557
H 0.353 0.415 0.578
H 0.839 0.301 0.600
H 0.917 0.611 0.613
H 0.253 0.858 0.619
H 0.553 0.969 0.651
H 0.922 0.422 0.664
H 0.307 0.028 0.665
H 0.560 0.672 0.697
H 0.198 0.347 0.748
H 0.653 0.802 0.752
H 0.328 0.440 0.803
H 0.972 0.693 0.835
H 0.578 0.078 0.836
H 0.031 0.447 0.849
H 0.142 0.747 0.881
H 0.389 0.083 0.887
H 0.699 0.161 0.900
H 0.585 0.647 0.922
H 0.269 0.852 0.943
H 0.850 0.280 0.972
H 0.700 0.754 0.977
H 0.045 0.620 0.991
H 0.652 0.003 0.992
N 0.374 0.758 0.016
N 0.768 0.357 0.051
N 0.643 0.232 0.449
N 0.242 0.626 0.484
N 0.758 0.374 0.516
N 0.357 0.768 0.551
N 0.232 0.643 0.949
N 0.626 0.242 0.984


Short version: final energy = -66.472, -44.932, -52.515, -526.520 eV/cell, in the order given.